(1)
# Pu2SiSn

A relaxed structure of Pu2SiSn (PBE, the Alexandria database).

The structure belongs to space group Fm-3m (No. 225); the cell edges are 7.250, 7.250 and 7.250 Å and the angles 90.00°, 90.00° and 90.00°. The distinct sites, in fractional coordinates, are Pu at (0.250, 0.250, 0.250), Si at (0.000, 0.000, 0.000) and Sn at (0.000, 0.000, 0.500).

Its volume is 381.1 Å³ per cell. As for the magnetization: 11.4 μB per formula unit. Its density of states at the Fermi level is 62.51 states/eV/cell. Its calculated density is 11.1 g cm⁻³. The total energy comes out at -0.3569 Ha/atom. The energy above the most stable polymorph in this dataset is 0.58 eV/f.u. The formation energy from raw total energies comes out at -0.189 eV per atom.


(2)
# SrPuSi4

A relaxed structure of SrPuSi4 (PBE, the Alexandria database).

The structure belongs to space group Pbam (No. 55); the cell edges are 7.856, 15.525 and 4.313 Å and the angles 90.00°, 90.00° and 90.00°. The distinct sites, in fractional coordinates, are Sr at (0.119, 0.153, 0.000), Pu at (0.124, 0.415, 0.000), Si at (0.031, 0.694, 0.500), Si at (0.125, 0.957, 0.500), Si at (0.126, 0.547, 0.500) and Si at (0.225, 0.809, 0.500).

Its volume is 526.0 Å³ per cell. As for the magnetization: 5.7 μB per formula unit. Its density of states at the Fermi level is 31.97 states/eV/cell. Its calculated density is 5.6 g cm⁻³. The total energy comes out at -0.2416 Ha/atom. The energy above the most stable polymorph in this dataset is 0.00 eV/f.u. The formation energy from raw total energies comes out at -0.290 eV per atom.


(3)
# SrPuSi

A relaxed structure of SrPuSi (PBE, the Alexandria database).

The structure belongs to space group P4/nmm (No. 129, origin choice 2); the cell edges are 3.674, 3.674 and 11.215 Å and the angles 90.00°, 90.00° and 90.00°. The distinct sites, in fractional coordinates, are Sr at (0.250, 0.250, 0.163), Pu at (0.250, 0.750, 0.500) and Si at (0.250, 0.250, 0.690).

Its volume is 151.4 Å³ per cell. As for the magnetization: 0.0 μB per formula unit. Its density of states at the Fermi level is 8.19 states/eV/cell. Its calculated density is 7.9 g cm⁻³. The total energy comes out at -0.2605 Ha/atom. The formation energy from raw total energies comes out at 0.057 eV per atom.


(4)
# SrPuSi4

A relaxed structure of SrPuSi4 (PBE, the Alexandria database).

The structure belongs to space group F-43m (No. 216); the cell edges are 7.665, 7.665 and 7.665 Å and the angles 90.00°, 90.00° and 90.00°. The distinct sites, in fractional coordinates, are Sr at (0.000, 0.000, 0.000), Pu at (0.250, 0.250, 0.250) and Si at (0.123, 0.123, 0.623).

Its volume is 450.3 Å³ per cell. As for the magnetization: 5.9 μB per formula unit. Its density of states at the Fermi level is 32.02 states/eV/cell. Its calculated density is 6.5 g cm⁻³. The total energy comes out at -0.2385 Ha/atom. The energy above the most stable polymorph in this dataset is 0.51 eV/f.u. The formation energy from raw total energies comes out at -0.205 eV per atom.


(5)
# SrPuZnSi

A relaxed structure of SrPuZnSi (PBE, the Alexandria database).

The structure belongs to space group F-43m (No. 216); the cell edges are 7.367, 7.367 and 7.367 Å and the angles 90.00°, 90.00° and 90.00°. The distinct sites, in fractional coordinates, are Sr at (0.000, 0.000, 0.000), Pu at (0.000, 0.000, 0.500), Zn at (0.250, 0.250, 0.750) and Si at (0.250, 0.250, 0.250).

Its volume is 399.9 Å³ per cell. As for the magnetization: 6.0 μB per formula unit. Its density of states at the Fermi level is 36.27 states/eV/cell. Its calculated density is 7.1 g cm⁻³. The total energy comes out at -0.2134 Ha/atom. The formation energy from raw total energies comes out at -0.129 eV per atom.


(6)
# PuTaSi

A relaxed structure of PuTaSi (PBE, the Alexandria database).

The structure belongs to space group Cmce (No. 64); the cell edges are 5.366, 10.708 and 7.885 Å and the angles 90.00°, 90.00° and 90.00°. The distinct sites, in fractional coordinates, are Pu at (0.250, 0.087, 0.250), Ta at (0.000, 0.168, 0.595) and Si at (0.000, 0.126, 0.920).

Its volume is 453.1 Å³ per cell. As for the magnetization: 4.7 μB per formula unit. Its density of states at the Fermi level is 47.43 states/eV/cell. Its calculated density is 13.3 g cm⁻³. The total energy comes out at -0.3905 Ha/atom. The formation energy from raw total energies comes out at -0.090 eV per atom.


(7)
# PuTaSi2

A relaxed structure of PuTaSi2 (PBE, the Alexandria database).

The structure belongs to space group P4/mmm (No. 123); the cell edges are 3.411, 3.411 and 6.204 Å and the angles 90.00°, 90.00° and 90.00°. The distinct sites, in fractional coordinates, are Pu at (0.000, 0.000, 0.000), Ta at (0.000, 0.000, 0.500) and Si at (0.500, 0.500, 0.301).

Its volume is 72.2 Å³ per cell. As for the magnetization: 5.6 μB per formula unit. Its density of states at the Fermi level is 8.20 states/eV/cell. Its calculated density is 11.1 g cm⁻³. The total energy comes out at -0.3516 Ha/atom. The energy above the most stable polymorph in this dataset is 0.00 eV/f.u. The formation energy from raw total energies comes out at -0.310 eV per atom.


(8)
# PuTaSi2

A relaxed structure of PuTaSi2 (PBE, the Alexandria database).

The structure belongs to space group R-3m (No. 166, hexagonal axes); the cell edges are 3.6988, 3.6988 and 20.1911 Å and the angles 90.00°, 90.00° and 120.00°. The distinct sites, in fractional coordinates, are Pu at (0.0000, 0.0000, 0.0000), Ta at (0.0000, 0.0000, 0.5000) and Si at (0.0000, 0.0000, 0.2400).

Its volume is 239.2 Å³ per cell. As for the magnetization: 5.1 μB per formula unit. Its density of states at the Fermi level is 32.06 states/eV/cell. Its calculated density is 10.0 g cm⁻³. The total energy comes out at -0.3475 Ha/atom. The energy above the most stable polymorph in this dataset is 0.45 eV/f.u. The formation energy from raw total energies comes out at -0.197 eV per atom.


(9)
# Tb5PuSi4

A relaxed structure of Tb5PuSi4 (PBE, the Alexandria database).

The structure belongs to space group C2/m (No. 12); the cell edges are 15.058, 4.955 and 6.807 Å and the angles 90.00°, 90.52° and 90.00°. The distinct sites, in fractional coordinates, are Tb at (0.000, 0.000, 0.000), Tb at (0.164, 0.500, 0.495), Tb at (0.165, 0.500, 0.008), Pu at (0.000, 0.000, 0.500), Si at (0.008, 0.500, 0.751) and Si at (0.178, 0.000, 0.248).

Its volume is 507.9 Å³ per cell. As for the magnetization: 5.9 μB per formula unit. Its density of states at the Fermi level is 22.11 states/eV/cell. Its calculated density is 7.5 g cm⁻³. The total energy comes out at -0.2346 Ha/atom. The formation energy from raw total energies comes out at -0.465 eV per atom.


(10)
# Tb2PuSi4

A relaxed structure of Tb2PuSi4 (PBE, the Alexandria database).

The structure belongs to space group Immm (No. 71); the cell edges are 3.881, 4.245 and 17.572 Å and the angles 90.00°, 90.00° and 90.00°. The distinct sites, in fractional coordinates, are Tb at (0.000, 0.000, 0.183), Pu at (0.000, 0.500, 0.500), Si at (0.000, 0.000, 0.353) and Si at (0.000, 0.500, 0.066).

Its volume is 289.5 Å³ per cell. As for the magnetization: 5.2 μB per formula unit. Its density of states at the Fermi level is 19.65 states/eV/cell. Its calculated density is 7.7 g cm⁻³. The total energy comes out at -0.2623 Ha/atom. The formation energy from raw total energies comes out at -0.669 eV per atom.


(11)
# Tb2PuSi

A relaxed structure of Tb2PuSi (PBE, the Alexandria database).

The structure belongs to space group P4/mmm (No. 123); the cell edges are 4.677, 4.677 and 4.436 Å and the angles 90.00°, 90.00° and 90.00°. The distinct sites, in fractional coordinates, are Tb at (0.000, 0.500, 0.000), Pu at (0.000, 0.000, 0.500) and Si at (0.500, 0.500, 0.500).

Its volume is 97.1 Å³ per cell. As for the magnetization: 6.3 μB per formula unit. Its density of states at the Fermi level is 11.46 states/eV/cell. Its calculated density is 10.1 g cm⁻³. The total energy comes out at -0.2736 Ha/atom. The energy above the most stable polymorph in this dataset is 0.00 eV/f.u. The formation energy from raw total energies comes out at -0.192 eV per atom.